Entry 1:
VASP calculation (PBE) on an optimized crystal structure of Eu3SnRh.

Structure (CIF):
```
data_Eu3SnRh
_space_group_name_H-M_alt 'P m -3 m'
_space_group_IT_number 221
_space_group_name_Hall '-P 4 2 3'
_cell_length_a 5.490
_cell_length_b 5.490
_cell_length_c 5.490
_cell_angle_alpha 90.00
_cell_angle_beta 90.00
_cell_angle_gamma 90.00
loop_
_atom_site_label
_atom_site_fract_x
_atom_site_fract_y
_atom_site_fract_z
Eu1 0.000 0.000 0.500
Sn1 0.500 0.500 0.500
Rh1 0.000 0.000 0.000
```

* DOS(E_F): 19.469 states/eV/cell
* energy of formation: -1.84 eV per formula unit

Entry 2:
VASP calculation (PBE) on an optimized crystal structure of Eu2SnRh.

Structure (CIF):
```
data_Eu2SnRh
_space_group_name_H-M_alt 'P 4/m m m'
_space_group_IT_number 123
_space_group_name_Hall '-P 4 2'
_cell_length_a 4.826
_cell_length_b 4.826
_cell_length_c 4.288
_cell_angle_alpha 90.00
_cell_angle_beta 90.00
_cell_angle_gamma 90.00
loop_
_atom_site_label
_atom_site_fract_x
_atom_site_fract_y
_atom_site_fract_z
Eu1 0.000 0.500 0.000
Sn1 0.000 0.000 0.500
Rh1 0.500 0.500 0.500
```

* DOS(E_F): 13.310 states/eV/cell
* energy of formation: -1.67 eV per formula unit
* energy above the most stable polymorph in this dataset: 58.9 meV/atom

Entry 3:
VASP calculation (PBE) on an optimized crystal structure of EuSn2Rh.

Structure (CIF):
```
data_EuSn2Rh
_space_group_name_H-M_alt 'R -3 m'
_space_group_IT_number 166
_space_group_name_Hall '-R 3 2"'
_cell_length_a 4.4885
_cell_length_b 4.4885
_cell_length_c 16.9056
_cell_angle_alpha 90.00
_cell_angle_beta 90.00
_cell_angle_gamma 120.00
loop_
_atom_site_label
_atom_site_fract_x
_atom_site_fract_y
_atom_site_fract_z
Eu1 0.0000 0.0000 0.0000
Sn1 0.0000 0.0000 0.2194
Rh1 0.0000 0.0000 0.5000
```

* DOS(E_F): 26.058 states/eV/cell
* energy of formation: -2.39 eV per formula unit

Entry 4:
VASP calculation (PBE) on an optimized crystal structure of EuSnRh4.

Structure (CIF):
```
data_EuSnRh4
_space_group_name_H-M_alt 'F -4 3 m'
_space_group_IT_number 216
_space_group_name_Hall 'F -4 2 3'
_cell_length_a 7.535
_cell_length_b 7.535
_cell_length_c 7.535
_cell_angle_alpha 90.00
_cell_angle_beta 90.00
_cell_angle_gamma 90.00
loop_
_atom_site_label
_atom_site_fract_x
_atom_site_fract_y
_atom_site_fract_z
Eu1 0.000 0.000 0.000
Sn1 0.250 0.250 0.250
Rh1 0.124 0.124 0.624
```

* DOS(E_F): 52.125 states/eV/cell
* energy of formation: -1.87 eV per formula unit

Entry 5:
VASP calculation (PBE) on an optimized crystal structure of Sr2Eu4Rh.

Structure (CIF):
```
data_Sr2Eu4Rh
_space_group_name_H-M_alt 'I 4/m m m'
_space_group_IT_number 139
_space_group_name_Hall '-I 4 2'
_cell_length_a 5.672
_cell_length_b 5.672
_cell_length_c 19.716
_cell_angle_alpha 90.00
_cell_angle_beta 90.00
_cell_angle_gamma 90.00
loop_
_atom_site_label
_atom_site_fract_x
_atom_site_fract_y
_atom_site_fract_z
Sr1 0.000 0.000 0.159
Eu1 0.000 0.000 0.357
Eu2 0.000 0.500 0.000
Rh1 0.000 0.000 0.500
```

* DOS(E_F): 79.790 states/eV/cell
* energy of formation: -0.41 eV per formula unit

Entry 6:
VASP calculation (PBE) on an optimized crystal structure of SrEuRh2.

Structure (CIF):
```
data_SrEuRh2
_space_group_name_H-M_alt 'P 4/m m m'
_space_group_IT_number 123
_space_group_name_Hall '-P 4 2'
_cell_length_a 3.543
_cell_length_b 3.543
_cell_length_c 7.211
_cell_angle_alpha 90.00
_cell_angle_beta 90.00
_cell_angle_gamma 90.00
loop_
_atom_site_label
_atom_site_fract_x
_atom_site_fract_y
_atom_site_fract_z
Sr1 0.000 0.000 0.000
Eu1 0.000 0.000 0.500
Rh1 0.500 0.500 0.274
```

* DOS(E_F): 10.356 states/eV/cell
* energy of formation: -0.78 eV per formula unit
* energy above the most stable polymorph in this dataset: 0.0 meV/atom

Entry 7:
VASP calculation (PBE) on an optimized crystal structure of Sr2EuRh.

Structure (CIF):
```
data_Sr2EuRh
_space_group_name_H-M_alt 'R -3 m'
_space_group_IT_number 166
_space_group_name_Hall '-R 3 2"'
_cell_length_a 4.1267
_cell_length_b 4.1267
_cell_length_c 34.2260
_cell_angle_alpha 90.00
_cell_angle_beta 90.00
_cell_angle_gamma 120.00
loop_
_atom_site_label
_atom_site_fract_x
_atom_site_fract_y
_atom_site_fract_z
Sr1 0.0000 0.0000 0.1167
Eu1 0.0000 0.0000 0.0000
Rh1 0.0000 0.0000 0.5000
```

* DOS(E_F): 10.221 states/eV/cell
* energy of formation: 0.27 eV per formula unit

Entry 8:
VASP calculation (PBE) on an optimized crystal structure of SrEuRh2.

Structure (CIF):
```
data_SrEuRh2
_space_group_name_H-M_alt 'F m -3 m'
_space_group_IT_number 225
_space_group_name_Hall '-F 4 2 3'
_cell_length_a 7.116
_cell_length_b 7.116
_cell_length_c 7.116
_cell_angle_alpha 90.00
_cell_angle_beta 90.00
_cell_angle_gamma 90.00
loop_
_atom_site_label
_atom_site_fract_x
_atom_site_fract_y
_atom_site_fract_z
Sr1 0.000 0.000 0.000
Eu1 0.000 0.000 0.500
Rh1 0.250 0.250 0.250
```

* DOS(E_F): 43.769 states/eV/cell
* energy of formation: -0.65 eV per formula unit
* energy above the most stable polymorph in this dataset: 31.6 meV/atom

Entry 9:
VASP calculation (PBE) on an optimized crystal structure of SrEuTlRh.

Structure (CIF):
```
data_SrEuTlRh
_space_group_name_H-M_alt 'F -4 3 m'
_space_group_IT_number 216
_space_group_name_Hall 'F -4 2 3'
_cell_length_a 7.588
_cell_length_b 7.588
_cell_length_c 7.588
_cell_angle_alpha 90.00
_cell_angle_beta 90.00
_cell_angle_gamma 90.00
loop_
_atom_site_label
_atom_site_fract_x
_atom_site_fract_y
_atom_site_fract_z
Sr1 0.000 0.000 0.000
Eu1 0.000 0.000 0.500
Tl1 0.250 0.250 0.250
Rh1 0.250 0.250 0.750
```

* DOS(E_F): 39.459 states/eV/cell
* energy of formation: -0.85 eV per formula unit

Entry 10:
VASP calculation (PBE) on an optimized crystal structure of SrEuZnRh.

Structure (CIF):
```
data_SrEuZnRh
_space_group_name_H-M_alt 'F -4 3 m'
_space_group_IT_number 216
_space_group_name_Hall 'F -4 2 3'
_cell_length_a 7.341
_cell_length_b 7.341
_cell_length_c 7.341
_cell_angle_alpha 90.00
_cell_angle_beta 90.00
_cell_angle_gamma 90.00
loop_
_atom_site_label
_atom_site_fract_x
_atom_site_fract_y
_atom_site_fract_z
Sr1 0.000 0.000 0.000
Eu1 0.000 0.000 0.500
Zn1 0.250 0.250 0.250
Rh1 0.250 0.250 0.750
```

* DOS(E_F): 31.330 states/eV/cell
* energy of formation: -0.90 eV per formula unit

Entry 11:
VASP calculation (PBE) on an optimized crystal structure of TbEuRh.

Structure (CIF):
```
data_TbEuRh
_space_group_name_H-M_alt 'I 4 m m'
_space_group_IT_number 107
_space_group_name_Hall 'I 4 -2'
_cell_length_a 3.502
_cell_length_b 3.502
_cell_length_c 13.175
_cell_angle_alpha 90.00
_cell_angle_beta 90.00
_cell_angle_gamma 90.00
loop_
_atom_site_label
_atom_site_fract_x
_atom_site_fract_y
_atom_site_fract_z
Tb1 0.000 0.000 0.000
Eu1 0.000 0.000 0.742
Rh1 0.000 0.000 0.389
```

* DOS(E_F): 16.910 states/eV/cell
* energy of formation: -1.37 eV per formula unit
* energy above the most stable polymorph in this dataset: 0.0 meV/atom

Entry 12:
VASP calculation (PBE) on an optimized crystal structure of Tb2EuRh.

Structure (CIF):
```
data_Tb2EuRh
_space_group_name_H-M_alt 'P 4/m m m'
_space_group_IT_number 123
_space_group_name_Hall '-P 4 2'
_cell_length_a 3.526
_cell_length_b 3.526
_cell_length_c 9.206
_cell_angle_alpha 90.00
_cell_angle_beta 90.00
_cell_angle_gamma 90.00
loop_
_atom_site_label
_atom_site_fract_x
_atom_site_fract_y
_atom_site_fract_z
Tb1 0.000 0.000 0.175
Eu1 0.500 0.500 0.500
Rh1 0.500 0.500 0.000
```

* DOS(E_F): 3.314 states/eV/cell
* energy of formation: -1.54 eV per formula unit
* energy above the most stable polymorph in this dataset: 0.0 meV/atom

Question: The highest DOS(E_F) belongs to which entry?
Answer: Sr2Eu4Rh

Question: Which formula does entry 5 have?
Answer: Sr2Eu4Rh